Entry from the Alexandria database: LaTa2Be after structural relaxation (PBE-GGA).

a b c (Å): 5.3807 5.3807 5.1944
angles (deg): 76.01 76.01 31.79
Closest atoms and distances in Å follow each position.
Fractional coordinates of all 4 atoms:
Be1 0.7500 0.7500 0.7500  4 Ta 2.63
Ta1 0.0391 0.0391 0.9552  2 Be 2.63, 2 Ta 2.87
Ta2 0.4609 0.4609 0.5448  2 Be 2.63, 2 Ta 2.87
La1 0.2500 0.2500 0.2500  2 La 2.95, 2 Ta 2.96, 4 Be 2.99

## Properties
M_tot: 0.00 μB/atom
space group: C2/m
total energy: -7.715 eV per atom
DOS at the Fermi energy: 0.711 states/eV per atom

=====

Entry from the Alexandria database: La3TaBe after structural relaxation (PBE-GGA).

a b c (Å): 5.5939 5.5939 5.5939
angles (deg): 90.00 90.00 90.00
Closest atoms and distances in Å follow each position.
Fractional coordinates of all 5 atoms:
La1 0.0000 0.5000 0.0000  2 Ta 2.80
La2 0.5000 0.0000 0.0000  2 Ta 2.80
La3 0.0000 0.0000 0.5000  2 Ta 2.80
Be1 0.5000 0.5000 0.5000  12 La 3.96
Ta1 0.0000 0.0000 0.0000  6 La 2.80

## Properties
M_tot: 0.00 μB/atom
space group: Pm-3m
total energy: -5.192 eV per atom
E above lowest polymorph: 0.0 kJ/mol of atoms
DOS at the Fermi energy: 0.915 states/eV per atom

=====

Entry from the Alexandria database: LaTaBe after structural relaxation (PBE-GGA).

a b c (Å): 6.9646 6.9646 2.9726
angles (deg): 77.68 77.68 24.64
Closest atoms and distances in Å follow each position.
Fractional coordinates of all 3 atoms:
La1 0.3461 0.3461 0.6539  4 La 2.97, 4 Be 3.13
Be1 0.0205 0.0204 0.9795  4 Ta 2.58
Ta1 0.6334 0.6335 0.3666  4 Be 2.58

## Properties
M_tot: 0.00 μB/atom
space group: I4mm
total energy: -6.471 eV per atom
E above lowest polymorph: 0.0 kJ/mol of atoms
DOS at the Fermi energy: 1.017 states/eV per atom

=====

Entry from the Alexandria database: LaTa2Be after structural relaxation (PBE-GGA).

a b c (Å): 3.0571 3.6155 7.2687
angles (deg): 90.00 90.00 90.00
Closest atoms and distances in Å follow each position.
Fractional coordinates of all 4 atoms:
Be1 0.0000 0.0000 0.4282  5 Ta 2.61-2.69
La1 0.5000 0.5000 0.7348  2 La 3.06, 4 Be 3.25, 5 Ta 3.32-3.34
Ta1 0.0000 0.0000 0.0584  1 Be 2.69, 4 Ta 2.86
Ta2 0.5000 0.5000 0.2786  4 Be 2.61, 4 Ta 2.86

## Properties
M_tot: 0.00 μB/atom
space group: Pmm2
total energy: -7.796 eV per atom
DOS at the Fermi energy: 1.117 states/eV per atom

=====

Entry from the Alexandria database: LaTa2Be after structural relaxation (PBE-GGA).

a b c (Å): 5.5914 5.5914 2.8264
angles (deg): 90.00 90.00 116.38
Closest atoms and distances in Å follow each position.
Fractional coordinates of all 4 atoms:
Be1 0.5000 0.0000 0.5000  2 Be 2.83, 2 La 2.95, 8 Ta 3.13
Ta1 0.5000 0.5000 0.0000  4 Ta 2.83-2.95, 4 Be 3.13, 4 La 3.13
Ta2 0.0000 0.0000 0.0000  4 Ta 2.83-2.95, 4 La 3.13, 4 Be 3.13
La1 0.0000 0.5000 0.5000  2 La 2.83, 2 Be 2.95, 8 Ta 3.13

## Properties
M_tot: 0.00 μB/atom
space group: Cmmm
total energy: -7.239 eV per atom
DOS at the Fermi energy: 0.949 states/eV per atom

=====

Entry from the Alexandria database: LaTa2Be after structural relaxation (PBE-GGA).

a b c (Å): 4.2622 3.5467 5.6562
angles (deg): 74.97 90.00 90.00
Closest atoms and distances in Å follow each position.
Fractional coordinates of all 4 atoms:
Be1 0.5000 0.2500 0.2500  4 Ta 2.50
La1 0.5000 0.7500 0.7500  2 Be 2.92, 4 Ta 3.21
Ta1 0.0000 0.4096 0.4343  2 Be 2.50, 2 Ta 2.62-2.75
Ta2 0.0000 0.0904 0.0657  2 Be 2.50, 2 Ta 2.62-2.75

## Properties
M_tot: 0.00 μB/atom
space group: P2/m
total energy: -7.536 eV per atom
DOS at the Fermi energy: 0.939 states/eV per atom